(1)
Below is a geometry-optimized NbBiTeI2 structure, with properties calculated at the PBE-GGA level.

Unit cell a=5.592 b=5.592 c=5.524 alpha=90.00 beta=90.00 gamma=90.00
Atoms (fractional coordinates):
1 Te 0.000 0.000 0.500
2 Bi 0.500 0.500 0.500
3 I 0.000 0.500 0.000
4 I 0.500 0.000 0.000
5 Nb 0.000 0.000 0.000

N(E_F), states/eV per cell: 4.3
Formation energy without anion corrections, eV per atom: 0.29
Polymorph energy (0 for the lowest one), eV per atom: 0.0000
Final energy, eV per atom: -3.744
Space-group type: P4/mmm, No. 123

---

(2)
Below is a geometry-optimized MnCd2H2 structure, with properties calculated at the PBE-GGA level.

Unit cell a=5.581 b=5.581 c=4.348 alpha=90.00 beta=90.00 gamma=90.00
Atoms (fractional coordinates):
1 H 0.225 0.725 0.000
2 H 0.275 0.225 0.000
3 H 0.725 0.775 0.000
4 Cd 0.310 0.190 0.500
5 Mn 0.000 0.000 0.000
6 H 0.775 0.275 0.000
7 Cd 0.190 0.690 0.500
8 Cd 0.690 0.810 0.500
9 Cd 0.810 0.310 0.500
10 Mn 0.500 0.500 0.000

N(E_F), states/eV per cell: 4.6
Final energy, eV per atom: -3.256
Space-group type: P4/mbm, No. 127

---

Number 1: magnetic moment 2.72 μB/cell. Number 2: magnetic moment 7.28 μB/cell.